1.
CeTlH8Pt2 (PBE-GGA, relaxed); magnetic moment = 0.0791 μB per atom; VASP energy = -3.9578 eV per atom; DOS at the Fermi energy = 0.733 states/eV per atom
1.0
2.4219 1.3983 7.1215
-2.4219 1.3983 7.1215
0.0000 -2.7966 7.1215
Ce Tl H Pt
1 1 8 2
direct
0.0000 0.0000 0.0000
0.5000 0.5000 0.5000
0.0661 0.0661 0.5761
0.0661 0.5761 0.0661
0.3567 0.3567 0.3567
0.4239 0.9339 0.9339
0.5761 0.0661 0.0661
0.6433 0.6433 0.6433
0.9339 0.4239 0.9339
0.9339 0.9339 0.4239
0.2780 0.2780 0.2780
0.7220 0.7220 0.7220

---

2.
Ce3PuH (PBE-GGA, relaxed); magnetic moment = 0.9888 μB per atom; VASP energy = -7.1887 eV per atom; DOS at the Fermi energy = 2.247 states/eV per atom
1.0
4.7947 0.0000 0.0000
0.0000 4.7947 0.0000
0.0000 0.0000 4.7947
Ce Pu H
3 1 1
direct
0.0000 0.0000 0.5000
0.0000 0.5000 0.0000
0.5000 0.0000 0.0000
0.5000 0.5000 0.5000
0.0000 0.0000 0.0000

---

3.
Ce4PuH8 (PBE-GGA, relaxed); magnetic moment = 1.0194 μB per atom; VASP energy = -5.2567 eV per atom; DOS at the Fermi energy = 0.922 states/eV per atom
1.0
5.7390 0.0000 0.0000
0.0000 5.7390 0.0000
0.0000 0.0000 5.7390
Ce Pu H
4 1 8
direct
0.0000 0.0000 0.0000
0.0000 0.5000 0.5000
0.5000 0.0000 0.5000
0.5000 0.5000 0.0000
0.5000 0.5000 0.5000
0.2498 0.2498 0.2498
0.2498 0.2498 0.7502
0.2498 0.7502 0.2498
0.2498 0.7502 0.7502
0.7502 0.2498 0.2498
0.7502 0.2498 0.7502
0.7502 0.7502 0.2498
0.7502 0.7502 0.7502